# CaTi3Cr

A geometry-optimized CaTi3Cr structure (GGA-PBE, the Alexandria database).

Values from the calculation:
Formation enthalpy at 0 K   2076 meV per atom
Energy above the lowest structure with this stoichiometry   1611 meV per atom

Cell lengths 4.492, 4.492, 4.492 Å; angles 90.00, 90.00, 90.00 degrees
Space group Pm-3m (No. 221)
Symmetry-distinct sites (fractional):
Ca1 0.000 0.000 0.000 [1 per cell]
Ti1 0.000 0.000 0.500 [3 per cell]
Cr1 0.500 0.500 0.500 [1 per cell]

# CdNiIr2

A geometry-optimized CdNiIr2 structure (GGA-PBE, the Alexandria database).

Values from the calculation:
Formation enthalpy at 0 K   377 meV per atom

Cell lengths 6.226, 6.226, 6.226 Å; angles 90.00, 90.00, 90.00 degrees
Space group F-43m (No. 216)
Symmetry-distinct sites (fractional):
Cd1 0.000 0.000 0.000 [4 per cell]
Ni1 0.250 0.250 0.250 [4 per cell]
Ir1 0.000 0.000 0.500 [4 per cell]
Ir2 0.250 0.250 0.750 [4 per cell]

# BaTbGd

A geometry-optimized BaTbGd structure (GGA-PBE, the Alexandria database).

Values from the calculation:
Formation enthalpy at 0 K   163 meV per atom
Energy above the lowest structure with this stoichiometry   0 meV per atom

Cell lengths 3.778, 3.778, 16.562 Å; angles 90.00, 90.00, 90.00 degrees
Space group I4mm (No. 107)
Symmetry-distinct sites (fractional):
Ba1 0.000 0.000 0.000 [2 per cell]
Tb1 0.000 0.000 0.680 [2 per cell]
Gd1 0.000 0.000 0.315 [2 per cell]

# KDyVBr6

A geometry-optimized KDyVBr6 structure (GGA-PBE, the Alexandria database).

Values from the calculation:
ΔE_f (raw)   -1.497 eV/atom

Cell lengths 7.0276, 7.0276, 14.9329 Å; angles 90.00, 90.00, 120.00 degrees
Space group P-31c (No. 163)
Symmetry-distinct sites (fractional):
K1 0.0000 0.0000 0.0000 [2 per cell]
Dy1 0.3333 0.6667 0.2500 [2 per cell]
V1 0.3333 0.6667 0.7500 [2 per cell]
Br1 0.0169 0.3735 0.6449 [12 per cell]